No. 1
The following is a DFT calculation (PBE) of an optimized crystal structure of Tb4ScAl2.

Unit cell a=5.3131 b=5.3131 c=25.5312 alpha=90.00 beta=90.00 gamma=120.00
Space group R-3m (No. 166, hexagonal axes)
One atom of each set of equivalent atoms:
Tb  0.0000  0.0000  0.1253 x6
Tb  0.0000  0.0000  0.2751 x6
Sc  0.0000  0.0000  0.5000 x3
Al  0.0000  0.0000  0.3936 x6

Values from the calculation:
- Size of the total moment: 1.70 μB/f.u.
- Density: 5.9 g cm⁻³
- E above lowest polymorph: 265 meV per atom
- Energy of formation from the pure elements: 0.093 eV/atom
- Total energy: -95.1 eV per cell



No. 2
The following is a DFT calculation (PBE) of an optimized crystal structure of TbSc3Al2.

Unit cell a=14.907 b=4.972 c=8.442 alpha=90.00 beta=118.89 gamma=90.00
Space group C2/m (No. 12)
One atom of each set of equivalent atoms:
Tb  0.131  0.000  0.172 x4
Sc  0.062  0.000  0.715 x4
Sc  0.115  0.500  0.541 x4
Sc  0.192  0.500  0.988 x4
Al  0.017  0.500  0.165 x4
Al  0.232  0.000  0.600 x4

Values from the calculation:
- Size of the total moment: 0.51 μB/f.u.
- Density: 4.2 g cm⁻³
- Energy of formation from the pure elements: -0.225 eV/atom
- Total energy: -129.8 eV per cell



Among the records above, which one has the lowest density? TbSc3Al2